No. 1
Compound: TlRu3
Source: the Alexandria database
Functional: GGA-PBE
Structure: relaxed

Output
Its volume is 64 Å³ per cell. Its space group is C2/m (12). The energy above the most stable polymorph in this dataset comes out at 69 meV/atom. The value obtained for the energy relative to the elements is 0.517 eV per atom. The value obtained for the final energy is -28.126 eV/cell.

a = 4.8343 Å, b = 4.8343 Å, c = 4.9290 Å
α = 79.99°, β = 79.99°, γ = 34.53°
Element x y z (fractional)
Ru 0.5000 0.5000 0.5000
Ru 0.7627 0.7627 0.7151
Ru 0.2373 0.2373 0.2849
Tl 0.0000 0.0000 0.0000



No. 2
Compound: Ti2CoSn2
Source: the Alexandria database
Functional: GGA-PBE
Structure: relaxed

Output
Its volume is 184 Å³ per cell. Its space group is P4/mbm (127). The value obtained for the energy relative to the elements is -0.077 eV per atom. The value obtained for the final energy is -62.568 eV/cell.

a = 6.6005 Å, b = 6.6005 Å, c = 4.2308 Å
α = 90.00°, β = 90.00°, γ = 90.00°
Element x y z (fractional)
Co 0.0000 0.0000 0.0000
Co 0.5000 0.5000 0.0000
Sn 0.3472 0.8472 0.0000
Sn 0.8472 0.6528 0.0000
Sn 0.6528 0.1528 0.0000
Sn 0.1528 0.3472 0.0000
Ti 0.1556 0.6556 0.5000
Ti 0.6556 0.8444 0.5000
Ti 0.8444 0.3444 0.5000
Ti 0.3444 0.1556 0.5000



The lowest volume belongs to which entry?
TlRu3